Record 1
An optimized crystal structure of Na2H2Se, computed with GGA-PBEsol.

Values from the calculation:
ρ: 2.56 g/cm³
total magnetic moment: 0.0 μB/f.u.
total energy: -31.227 eV/cell
calculated volume: 164.7 Å³/cell

Cell and atoms, written as CIF:
```
data_Na2H2Se
_chemical_formula_sum 'Na4 H4 Se2'
_cell_length_a 6.592
_cell_length_b 6.592
_cell_length_c 3.789
_cell_angle_alpha 90.00
_cell_angle_beta 90.00
_cell_angle_gamma 90.00
_symmetry_space_group_name_H-M 'P 4/m b m'
_symmetry_Int_Tables_number 127
_symmetry_space_group_name_Hall '-P 4 2ab'
loop_
_atom_site_label
_atom_site_fract_x
_atom_site_fract_y
_atom_site_fract_z
Na1 0.231 0.269 0.000
H1 0.042 0.542 0.500
Se1 0.000 0.000 0.500
```


Record 2
An optimized crystal structure of ZrTaPt2, computed with GGA-PBEsol.

Values from the calculation:
ρ: 16.58 g/cm³
total magnetic moment: 0.0 μB/f.u.
formation energy from the elements: -763 meV/atom
calculated volume: 66.4 Å³/cell

Cell and atoms, written as CIF:
```
data_ZrTaPt2
_chemical_formula_sum 'Zr1 Ta1 Pt2'
_cell_length_a 2.845
_cell_length_b 4.070
_cell_length_c 5.730
_cell_angle_alpha 90.00
_cell_angle_beta 90.00
_cell_angle_gamma 90.00
_symmetry_space_group_name_H-M 'P m m m'
_symmetry_Int_Tables_number 47
loop_
_symmetry_equiv_pos_as_xyz
'x,y,z'
'-x,-y,-z'
'-x,-y,z'
'x,y,-z'
'x,-y,-z'
'-x,y,z'
'-x,y,-z'
'x,-y,z'
loop_
_atom_site_label
_atom_site_fract_x
_atom_site_fract_y
_atom_site_fract_z
Zr1 0.000 0.000 0.000
Ta1 0.000 0.000 0.500
Pt1 0.500 0.500 0.258
```


Record 3
An optimized crystal structure of Y2Cu3, computed with GGA-PBEsol.

Values from the calculation:
ρ: 6.71 g/cm³
total magnetic moment: 0.0 μB/f.u.
formation energy from the elements: -197 meV/atom
calculated volume: 729.7 Å³/cell

Cell and atoms, written as CIF:
```
data_Y2Cu3
_chemical_formula_sum 'Y16 Cu24'
_cell_length_a 9.039
_cell_length_b 15.220
_cell_length_c 5.304
_cell_angle_alpha 90.00
_cell_angle_beta 90.00
_cell_angle_gamma 90.00
_symmetry_space_group_name_H-M 'F d d 2'
_symmetry_Int_Tables_number 43
_symmetry_space_group_name_Hall 'F 2 -2d'
loop_
_atom_site_label
_atom_site_fract_x
_atom_site_fract_y
_atom_site_fract_z
Y1 0.082 0.299 0.000
Cu1 0.000 0.000 0.277
Cu2 0.078 0.375 0.499
```


Record 4
An optimized crystal structure of BP2Pb, computed with GGA-PBEsol.

Values from the calculation:
ρ: 6.78 g/cm³
total magnetic moment: 0.0 μB/f.u.
formation energy from the elements: 1322 meV/atom
calculated volume: 274.4 Å³/cell

Cell and atoms, written as CIF:
```
data_BP2Pb
_chemical_formula_sum 'B4 P8 Pb4'
_cell_length_a 6.498
_cell_length_b 6.498
_cell_length_c 6.498
_cell_angle_alpha 90.00
_cell_angle_beta 90.00
_cell_angle_gamma 90.00
_symmetry_space_group_name_H-M 'F m -3 m'
_symmetry_Int_Tables_number 225
_symmetry_space_group_name_Hall '-F 4 2 3'
loop_
_atom_site_label
_atom_site_fract_x
_atom_site_fract_y
_atom_site_fract_z
B1 0.000 0.000 0.000
P1 0.250 0.250 0.250
Pb1 0.000 0.000 0.500
```